# Pm2Dy6Ho3Mg

An optimized crystal structure of Pm2Dy6Ho3Mg (PBE-GGA, Alexandria via LeMat-Bulk).

Cell lengths 6.115, 6.115, 11.717 Å; angles 95.02, 95.02, 120.05 degrees
Atoms (fractional coordinates):
Pm 0.334 0.666 0.000
Pm 0.666 0.334 0.000
Dy 0.917 0.585 0.749
Dy 0.752 0.752 0.253
Dy 0.083 0.415 0.251
Dy 0.585 0.917 0.749
Dy 0.248 0.248 0.747
Dy 0.415 0.083 0.251
Ho 0.166 0.834 0.500
Ho 0.834 0.166 0.500
Ho 0.500 0.500 0.500
Mg 0.000 0.000 0.000

Output
ΔE_f	0.021	eV/atom
DFT total energy	-52.19	eV per cell
SG	C2/m, No. 12
magnetization	0.00	μB per cell